Below is a relaxed structure of Tb3Pm2NdHo6, with properties calculated at the PBE level.

abc: 6.1860 10.7077 11.7784
angles: 90.00 100.04 90.00
With the nearest neighbours (Å) after each atom.
Space group C2/m (No. 12)
Asymmetric unit:
Tb: 0.0000 0.0000 0.0000 x2  6 Ho 3.53, 6 Tb 3.57
Tb: 0.0000 0.3333 0.0000 x4  6 Ho 3.53-3.54, 6 Tb 3.57
Pm: 0.0000 0.1666 0.5000 x4  3 Pm 3.57, 3 Nd 3.57, 6 Ho 3.58
Nd: 0.0000 0.5000 0.5000 x2  6 Pm 3.57, 6 Ho 3.58
Ho: 0.2483 0.1667 0.2474 x8  3 Tb 3.53-3.54, 6 Ho 3.57, 2 Pm 3.58, 1 Nd 3.58
Ho: 0.2485 0.5000 0.2474 x4  3 Tb 3.53, 6 Ho 3.57, 1 Nd 3.58, 2 Pm 3.58

Output
Formation energy, eV/atom: 0.016
Magnetic moment, μB/atom: 0.000


Below is a relaxed structure of Cs2ZnBr7, with properties calculated at the PBE level.

abc: 8.2151 8.2151 11.2471
angles: 90.00 90.00 90.00
With the nearest neighbours (Å) after each atom.
Space group I4/mmm (No. 139)
Asymmetric unit:
Cs: 0.0000 0.5000 0.2500 x4  12 Br 4.06-4.12
Zn: 0.0000 0.0000 0.0000 x2  4 Br 2.49
Br: 0.0000 0.0000 0.2733 x4  1 Br 2.55
Br: 0.0000 0.0000 0.5000 x2  2 Br 2.55
Br: 0.2142 0.2142 0.0000 x8  1 Zn 2.49

Output
Magnetic moment, μB/atom: 0.000
Formation energy (no corrections), eV/f.u.: -9.04


Below is a relaxed structure of BeVSiRu, with properties calculated at the PBE level.

abc: 5.7703 5.7703 5.7703
angles: 90.00 90.00 90.00
With the nearest neighbours (Å) after each atom.
Space group F-43m (No. 216)
Asymmetric unit:
Be: 0.0000 0.0000 0.0000 x4  4 Ru 2.50, 4 V 2.50
V: 0.2500 0.2500 0.7500 x4  4 Be 2.50, 4 Si 2.50
Si: 0.0000 0.0000 0.5000 x4  4 Ru 2.50, 4 V 2.50
Ru: 0.2500 0.2500 0.2500 x4  4 Si 2.50, 4 Be 2.50

Output
Magnetic moment, μB/atom: 0.463
Formation energy (no corrections), eV/f.u.: -1.41


Below is a relaxed structure of MgScMo2, with properties calculated at the PBE level.

abc: 2.8801 4.4324 5.8824
angles: 90.00 103.61 90.00
With the nearest neighbours (Å) after each atom.
Space group Pm (No. 6)
Asymmetric unit:
Mg: 0.0000 0.0000 0.0000 x1  6 Mo 2.84-3.17, 2 Mg 2.88, 4 Sc 3.04-3.18
Sc: 0.3100 0.5000 0.7134 x1  3 Mo 2.80-2.87, 2 Sc 2.88, 2 Mg 3.04
Mo: 0.5823 0.0000 0.4628 x1  4 Mo 2.59-2.88, 1 Mg 2.84, 2 Sc 2.87
Mo: 0.7218 0.5000 0.2600 x1  4 Mo 2.59-2.88, 1 Sc 2.80

Output
Formation energy, eV/atom: 0.161
Magnetic moment, μB/atom: 0.000


Below is a relaxed structure of CeHoZr, with properties calculated at the PBE level.

abc: 3.3241 3.3241 14.8193
angles: 90.00 90.00 90.00
With the nearest neighbours (Å) after each atom.
Space group P4/nmm (No. 129, origin choice 2)
Asymmetric unit:
Ce: 0.2500 0.2500 0.2345 x2  4 Ce 3.32, 4 Zr 3.35, 4 Ho 3.52
Ho: 0.2500 0.2500 0.5890 x2  8 Ho 3.32-3.53, 4 Ce 3.52
Zr: 0.2500 0.2500 0.9267 x2  8 Zr 3.20-3.32, 4 Ce 3.35

Output
Formation energy, eV/atom: 0.091
Magnetic moment, μB/atom: 0.105
Polymorph energy (0 for the lowest one), meV per atom: 7


Below is a relaxed structure of Hf6TaIr5, with properties calculated at the PBE level.

abc: 4.6233 13.8936 6.6509
angles: 90.00 90.00 90.00
With the nearest neighbours (Å) after each atom.
Space group Cmmm (No. 65)
Asymmetric unit:
Hf: 0.0000 0.0000 0.2471 x4  6 Ir 2.84-2.88, 2 Ta 2.86
Hf: 0.0000 0.3327 0.2487 x8  7 Ir 2.83-2.85, 1 Ta 2.86
Ta: 0.0000 0.5000 0.5000 x2  8 Hf 2.86
Ir: 0.0000 0.1675 0.0000 x4  8 Hf 2.83-2.85
Ir: 0.0000 0.1686 0.5000 x4  8 Hf 2.83-2.88
Ir: 0.0000 0.5000 0.0000 x2  8 Hf 2.84-2.85

Output
Formation energy, eV/atom: -0.782
Magnetic moment, μB/atom: 0.000


Below is a relaxed structure of CoSbPS2, with properties calculated at the PBE level.

abc: 4.9596 4.9596 5.0631
angles: 90.00 90.00 90.00
With the nearest neighbours (Å) after each atom.
Space group P4/mmm (No. 123)
Asymmetric unit:
Co: 0.0000 0.0000 0.0000 x1  4 P 3.51, 8 S 3.54
Sb: 0.5000 0.5000 0.5000 x1  4 S 2.48, 2 P 2.53
P: 0.5000 0.5000 0.0000 x1  2 Sb 2.53
S: 0.0000 0.5000 0.5000 x2  2 Sb 2.48

Output
Magnetic moment, μB/atom: 0.642
Polymorph energy (0 for the lowest one), meV per atom: 908
Formation energy (no corrections), eV/f.u.: 6.13


Below is a relaxed structure of Tb3Ho7Pu, with properties calculated at the PBE level.

abc: 6.9825 6.9825 8.4984
angles: 90.00 90.00 120.00
With the nearest neighbours (Å) after each atom.
Space group P3m1 (No. 156)
Asymmetric unit:
Tb: 0.0038 0.5019 0.0000 x3  1 Pu 3.44, 4 Tb 3.45-3.53, 5 Ho 3.47-3.52
Ho: 0.1690 0.3379 0.3412 x3  1 Pu 3.43, 8 Ho 3.44-3.54, 2 Tb 3.52
Ho: 0.3350 0.1675 0.6683 x3  7 Ho 3.44-3.51, 2 Tb 3.47, 2 Pu 3.49
Ho: 0.6667 0.3333 0.3375 x1  9 Ho 3.45-3.49, 3 Tb 3.52
Pu: 0.3333 0.6667 0.6700 x1  9 Ho 3.43-3.49, 3 Tb 3.44

Output
Formation energy, eV/atom: 0.209
Magnetic moment, μB/atom: 0.574